A plane-wave DFT calculation with PBE was carried out for SrTcW2 after structural relaxation.

Cell and atoms, written as POSCAR:
```
SrTcW2
1.0
3.0919 0.0000 0.0000
0.0000 4.9576 0.0000
0.0000 0.0000 9.8816
Sr Tc W
2 2 4
Direct
0.0000 0.0000 0.0000
0.5000 0.5000 0.5000
0.0000 0.0000 0.5000
0.5000 0.5000 0.0000
0.0000 0.5000 0.2228
0.0000 0.5000 0.7772
0.5000 0.0000 0.2772
0.5000 0.0000 0.7228
```

Results
* space-group type: Immm (71)
* electronic total energy: -68.23 eV/cell
* formation energy: 3.8 eV per formula unit
* E above lowest polymorph: 281 meV/atom
* magnetic moment: 0.000 μB/f.u.

---

A plane-wave DFT calculation with PBE was carried out for Li2HfAu8 after structural relaxation.

Cell and atoms, written as POSCAR:
```
Li2HfAu8
1.0
7.3812 -2.0571 0.0000
7.3812 2.0571 0.0000
-1.9280 0.0000 6.2969
Li Hf Au
2 1 8
Direct
0.2202 0.2202 0.1459
0.7798 0.7798 0.8541
0.5000 0.5000 0.5000
0.0439 0.0439 0.2290
0.1422 0.1422 0.6949
0.3190 0.3190 0.5877
0.3978 0.3978 0.0456
0.6022 0.6022 0.9544
0.6810 0.6810 0.4123
0.8578 0.8578 0.3051
0.9561 0.9561 0.7710
```

Results
* space-group type: C2/m (12)
* electronic total energy: -44.43 eV/cell
* formation energy: -4.4 eV per formula unit
* E above lowest polymorph: 0 meV/atom
* magnetic moment: 0.000 μB/f.u.